VASP calculation (GGA-PBE) on a relaxed structure of Sm3PuFe.

Raw total energy: -7.103 eV/atom
Symmetry: Pm-3m

Cell: 5.3294 5.3294 5.3294 Å, 90.00 90.00 90.00°
Closest atoms and distances in Å follow each position.
Fractional coordinates of all 5 atoms:
1 Fe 0.0000 0.0000 0.0000  6 Sm 2.66
2 Sm 0.0000 0.5000 0.0000  2 Fe 2.66
3 Sm 0.0000 0.0000 0.5000  2 Fe 2.66
4 Sm 0.5000 0.0000 0.0000  2 Fe 2.66
5 Pu 0.5000 0.5000 0.5000  12 Sm 3.77